Material: YTlRh
Method: DFT, SCAN
State: PBEsol geometry

a = 6.5398 Å, b = 6.5398 Å, c = 6.5398 Å
α = 90.00°, β = 90.00°, γ = 90.00°
Space group F-43m (No. 216)
Unique sites:
Y  0.0000  0.0000  0.0000 x4
Tl  0.0000  0.0000  0.5000 x4
Rh  0.2500  0.2500  0.2500 x4

Values from the calculation:
Energy of formation from the pure elements ... -0.562 eV per atom
E_tot ... -45.219 eV per atom
Mass density ... 9.41 g/cm³



Material: Y2TlRh
Method: DFT, SCAN
State: PBEsol geometry

a = 6.9239 Å, b = 6.9239 Å, c = 6.9239 Å
α = 90.00°, β = 90.00°, γ = 90.00°
Space group F-43m (No. 216)
Unique sites:
Y  0.0000  0.0000  0.0000 x4
Y  0.2500  0.2500  0.2500 x4
Tl  0.0000  0.0000  0.5000 x4
Rh  0.2500  0.2500  0.7500 x4

Values from the calculation:
Energy of formation from the pure elements ... -0.509 eV per atom
E_tot ... -40.963 eV per atom
Mass density ... 9.71 g/cm³



Material: Y2TlRh
Method: DFT, SCAN
State: PBEsol geometry

a = 6.5821 Å, b = 3.7711 Å, c = 8.4085 Å
α = 90.00°, β = 104.84°, γ = 90.00°
Space group C2/m (No. 12)
Unique sites:
Y  0.2343  0.0000  0.2020 x4
Tl  0.0000  0.0000  0.5000 x2
Rh  0.0000  0.5000  0.0000 x2

Values from the calculation:
Energy of formation from the pure elements ... -0.657 eV per atom
E_tot ... -41.111 eV per atom
Mass density ... 7.99 g/cm³



What did the first record say?
Material: YTlRh
Method: DFT, SCAN
State: PBEsol geometry

a = 6.5398 Å, b = 6.5398 Å, c = 6.5398 Å
α = 90.00°, β = 90.00°, γ = 90.00°
Space group F-43m (No. 216)
Unique sites:
Y  0.0000  0.0000  0.0000 x4
Tl  0.0000  0.0000  0.5000 x4
Rh  0.2500  0.2500  0.2500 x4

Values from the calculation:
Energy of formation from the pure elements ... -0.562 eV per atom
E_tot ... -45.219 eV per atom
Mass density ... 9.41 g/cm³